1.
Crystalline Co2BrN at its relaxed geometry, computed with PBE.

Summary:
**Offset from the most stable computed form**: 99.4 kJ/mol of atoms
**Uncorrected formation energy**: 5.0 eV per formula unit
**Volume**: 183 Å³/cell

abc: 5.677 5.677 5.677
angles: 90.00 90.00 90.00
Space group Fm-3m (No. 225)
Inequivalent atoms, fractional coordinates:
Co  0.250  0.250  0.250 [8 per cell]
Br  0.000  0.000  0.000 [4 per cell]
N  0.000  0.000  0.500 [4 per cell]


2.
Crystalline LiNiBRu at its relaxed geometry, computed with PBE.

Summary:
**Volume**: 154 Å³/cell
**ΔE_f**: 16.3 meV per atom

abc: 5.362 5.362 5.362
angles: 90.00 90.00 90.00
Space group F-43m (No. 216)
Inequivalent atoms, fractional coordinates:
Li  0.000  0.000  0.000 [4 per cell]
Ni  0.250  0.250  0.750 [4 per cell]
B  0.000  0.000  0.500 [4 per cell]
Ru  0.250  0.250  0.250 [4 per cell]


3.
Crystalline AlOsAu2 at its relaxed geometry, computed with PBE.

Summary:
**Volume**: 64 Å³/cell
**ΔE_f**: 302.8 meV per atom

abc: 2.898 2.898 7.607
angles: 90.00 90.00 90.00
Space group P4/mmm (No. 123)
Inequivalent atoms, fractional coordinates:
Al  0.000  0.000  0.000 [1 per cell]
Os  0.000  0.000  0.500 [1 per cell]
Au  0.500  0.500  0.236 [2 per cell]


4.
Crystalline CdAsP2O8 at its relaxed geometry, computed with PBE.

Summary:
**Uncorrected formation energy**: -18.1 eV per formula unit
**Volume**: 430 Å³/cell

abc: 4.6810 4.6810 22.6833
angles: 90.00 90.00 120.00
Space group R32 (No. 155, hexagonal axes)
Inequivalent atoms, fractional coordinates:
Cd  0.0000  0.0000  0.0000 [3 per cell]
As  0.0000  0.0000  0.5000 [3 per cell]
P  0.0000  0.0000  0.2468 [6 per cell]
O  0.0000  0.0000  0.3148 [6 per cell]
O  0.0077  0.3617  0.8918 [18 per cell]


5.
Crystalline Pm8SbAu2 at its relaxed geometry, computed with PBE.

Summary:
**Uncorrected formation energy**: -5.0 eV per formula unit
**Volume**: 676 Å³/cell

abc: 19.223 5.257 7.092
angles: 90.00 109.50 90.00
Space group C2/m (No. 12)
Inequivalent atoms, fractional coordinates:
Pm  0.024  0.000  0.272 [4 per cell]
Pm  0.095  0.500  0.973 [4 per cell]
Pm  0.174  0.500  0.500 [4 per cell]
Pm  0.201  0.000  0.849 [4 per cell]
Sb  0.000  0.500  0.500 [2 per cell]
Au  0.172  0.000  0.236 [4 per cell]


6.
Crystalline Na2TcH at its relaxed geometry, computed with PBE.

Summary:
**Offset from the most stable computed form**: 63.0 kJ/mol of atoms
**Volume**: 352 Å³/cell

abc: 7.061 7.061 7.061
angles: 90.00 90.00 90.00
Space group Fm-3m (No. 225)
Inequivalent atoms, fractional coordinates:
Na  0.250  0.250  0.250 [8 per cell]
Tc  0.000  0.000  0.000 [4 per cell]
H  0.000  0.000  0.500 [4 per cell]


7.
Crystalline Ni3Mo at its relaxed geometry, computed with PBE.

Summary:
**Volume**: 147 Å³/cell
**ΔE_f**: 142.9 meV per atom

abc: 8.1632 8.1632 2.5476
angles: 90.00 90.00 120.00
Space group R-3m (No. 166, hexagonal axes)
Inequivalent atoms, fractional coordinates:
Ni  0.0000  0.5000  0.0000 [9 per cell]
Mo  0.0000  0.0000  0.0000 [3 per cell]


8.
Crystalline NbBTeI2 at its relaxed geometry, computed with PBE.

Summary:
**Offset from the most stable computed form**: 4.8 kJ/mol of atoms
**Uncorrected formation energy**: 5.5 eV per formula unit
**Volume**: 123 Å³/cell

abc: 4.946 4.946 5.017
angles: 90.00 90.00 90.00
Space group P4/mmm (No. 123)
Inequivalent atoms, fractional coordinates:
Nb  0.000  0.000  0.000 [1 per cell]
B  0.500  0.500  0.500 [1 per cell]
Te  0.500  0.500  0.000 [1 per cell]
I  0.000  0.500  0.500 [2 per cell]


9.
Crystalline Sc4Cu5 at its relaxed geometry, computed with PBE.

Summary:
**Offset from the most stable computed form**: 0.0 kJ/mol of atoms
**Volume**: 307 Å³/cell
**ΔE_f**: -121.3 meV per atom

abc: 7.9249 7.9249 5.6446
angles: 90.00 90.00 120.00
Space group P6_3/mcm (No. 193)
Inequivalent atoms, fractional coordinates:
Sc  0.0000  0.0000  0.0000 [2 per cell]
Sc  0.0000  0.3621  0.2500 [6 per cell]
Cu  0.0000  0.3087  0.7500 [6 per cell]
Cu  0.3333  0.6667  0.0000 [4 per cell]


10.
Crystalline Ho2Sb2H at its relaxed geometry, computed with PBE.

Summary:
**Volume**: 478 Å³/cell
**Uncorrected energy**: -24.7 eV/f.u.

abc: 4.257 18.367 6.117
angles: 90.00 90.00 90.00
Space group Cmc2_1 (No. 36)
Inequivalent atoms, fractional coordinates:
Ho  0.000  0.092  0.000 [4 per cell]
Ho  0.000  0.335  0.057 [4 per cell]
Sb  0.000  0.290  0.553 [4 per cell]
Sb  0.000  0.494  0.778 [4 per cell]
H  0.000  0.126  0.659 [4 per cell]


11.
Crystalline MgZrSbSe2 at its relaxed geometry, computed with PBE.

Summary:
**Uncorrected formation energy**: 2.7 eV per formula unit
**Volume**: 152 Å³/cell

abc: 5.438 5.438 5.136
angles: 90.00 90.00 90.00
Space group P4/mmm (No. 123)
Inequivalent atoms, fractional coordinates:
Mg  0.000  0.000  0.000 [1 per cell]
Zr  0.500  0.500  0.000 [1 per cell]
Sb  0.000  0.000  0.500 [1 per cell]
Se  0.000  0.500  0.500 [2 per cell]


12.
Crystalline AcTmPuTh at its relaxed geometry, computed with PBE.

Summary:
**Volume**: 536 Å³/cell
**ΔE_f**: 328.9 meV per atom

abc: 8.121 8.121 8.121
angles: 90.00 90.00 90.00
Space group F-43m (No. 216)
Inequivalent atoms, fractional coordinates:
Ac  0.000  0.000  0.000 [4 per cell]
Tm  0.250  0.250  0.750 [4 per cell]
Pu  0.000  0.000  0.500 [4 per cell]
Th  0.250  0.250  0.250 [4 per cell]